Record 1
Computed, not measured: a geometry-optimized KTlSiNi2 structure at the PBE-GGA level of DFT.

## Properties
V ... 24.00 A^3/atom
Density of states at the Fermi level ... 0.904 states/eV per atom
Electronic total energy ... -2.24 eV per atom
Formation energy (no corrections) ... 1846 meV per atom

Unit cell a=4.645 b=4.645 c=5.561 alpha=90.00 beta=90.00 gamma=90.00
Element x y z (fractional)
K 0.000 0.000 0.000
Tl 0.500 0.500 0.500
Si 0.000 0.000 0.500
Ni 0.000 0.500 0.000
Ni 0.500 0.000 0.000

Record 2
Computed, not measured: a geometry-optimized KZnSi2Ni structure at the PBE-GGA level of DFT.

## Properties
V ... 23.54 A^3/atom
Density of states at the Fermi level ... 0.599 states/eV per atom
Electronic total energy ... -2.70 eV per atom
Formation energy (no corrections) ... 1102 meV per atom

Unit cell a=4.670 b=4.670 c=5.397 alpha=90.00 beta=90.00 gamma=90.00
Element x y z (fractional)
K 0.000 0.000 0.000
Zn 0.000 0.000 0.500
Si 0.000 0.500 0.500
Si 0.500 0.000 0.500
Ni 0.500 0.500 0.000

Record 3
Computed, not measured: a geometry-optimized KZn2SiNi structure at the PBE-GGA level of DFT.

## Properties
V ... 20.22 A^3/atom
Density of states at the Fermi level ... 0.467 states/eV per atom
Electronic total energy ... -2.95 eV per atom
Formation energy (no corrections) ... 18 meV per atom

Unit cell a=4.793 b=4.793 c=4.401 alpha=90.00 beta=90.00 gamma=90.00
Element x y z (fractional)
K 0.000 0.000 0.000
Zn 0.000 0.500 0.500
Zn 0.500 0.000 0.500
Si 0.500 0.500 0.000
Ni 0.500 0.500 0.500

Record 4
Computed, not measured: a geometry-optimized KSmNiTe3 structure at the PBE-GGA level of DFT.

## Properties
V ... 33.45 A^3/atom
Density of states at the Fermi level ... 0.661 states/eV per atom
Electronic total energy ... -4.39 eV per atom
Formation energy (no corrections) ... -885 meV per atom

Unit cell a=4.268 b=10.929 c=8.867 alpha=90.00 beta=103.90 gamma=90.00
Element x y z (fractional)
K 0.247 0.250 0.493
K 0.753 0.750 0.507
Sm 0.500 0.000 0.000
Sm 0.500 0.500 0.000
Ni 0.006 0.750 0.014
Ni 0.994 0.250 0.986
Te 0.117 0.595 0.235
Te 0.117 0.905 0.235
Te 0.417 0.750 0.834
Te 0.583 0.250 0.166
Te 0.883 0.095 0.765
Te 0.883 0.405 0.765

> Among the records above, which one has the lowest electronic total energy?

KSmNiTe3

> formation energy (no corrections) of number 2 (KZnSi2Ni)?

1102 meV per atom

> Which of these has the highest density of states at the Fermi level?

KTlSiNi2